{"formula": "Li7Cd3Pb", "functional": "GGA-PBE", "state": "relaxed", "cell": [[4.774, -5.036, 0.000], [4.774, 5.036, 0.000], [-2.096, 0.000, 4.754]], "species": ["Li", "Li", "Li", "Li", "Li", "Li", "Li", "Cd", "Cd", "Cd", "Pb"], "fractional_positions": [[0.000, 0.000, 0.000], [0.092, 0.571, 0.335], [0.313, 0.313, 0.881], [0.429, 0.908, 0.665], [0.571, 0.092, 0.335], [0.687, 0.687, 0.119], [0.908, 0.429, 0.665], [0.274, 0.726, 0.000], [0.500, 0.500, 0.500], [0.726, 0.274, 0.000], [0.000, 0.000, 0.500]], "e_form_ev_per_atom": -0.11, "space_group": "C2/m, No. 12", "polymorph_energy_kj_per_mol_atoms": 5.8, "density_g_cm3": 4.3}